Version i
A relaxed structure of ErTmHg. Source: the Alexandria database, functional PBE.

Results
Its spin magnetization is 0.00 μB/f.u.

Cell lengths 5.0773, 9.1294, 6.9232 Å; angles 90.00, 90.00, 90.00 degrees
Positions (direct):
Hg1 0.2500 0.4007 0.7656
Hg2 0.7500 0.5993 0.2344
Hg3 0.2500 0.0993 0.2656
Hg4 0.7500 0.9007 0.7344
Er1 0.7500 0.9246 0.1725
Er2 0.2500 0.4246 0.3275
Er3 0.2500 0.0754 0.8275
Er4 0.7500 0.5754 0.6725
Tm1 0.7500 0.3026 0.0154
Tm2 0.7500 0.1974 0.5154
Tm3 0.2500 0.8026 0.4846
Tm4 0.2500 0.6974 0.9846

Version ii
A relaxed structure of ErTmHg. Source: the Alexandria database, functional PBE.

Results
Its spin magnetization is 0.00 μB/f.u.

Cell lengths 5.0395, 5.0395, 5.0395 Å; angles 60.00, 60.00, 60.00 degrees
Positions (direct):
Tm1 0.5000 0.5000 0.5000
Hg1 0.2500 0.2500 0.2500
Er1 0.0000 0.0000 0.0000

Energy ordering: version i at the bottom, the next structure 243 meV per atom above.